Record 1
! Cs4TlI4 | Alexandria | PBE | optimized geometry; values from VASP
! * DOS at the Fermi energy: 5.441 states/eV/f.u.
! * density: 3.6 Mg/m³
! * symmetry: P4_2/nmc, No. 137
! * E_form (uncorrected): -1.16 eV per atom
! * crystal system: tetragonal
! * calculated total energy: -0.1830 Ry per atom
! * M_tot: 1.03 μB per formula unit
&SYSTEM
  ibrav = 0, nat = 18, ntyp = 3
/
ATOMIC_SPECIES
I 126.90 I.upf
Cs 132.91 Cs.upf
Tl 204.38 Tl.upf
CELL_PARAMETERS angstrom
9.888 0.000 0.000
0.000 10.718 0.000
0.000 0.000 10.718
ATOMIC_POSITIONS crystal
I 0.711 0.000 0.242
I 0.211 0.258 0.500
I 0.789 0.500 0.258
I 0.289 0.242 0.000
I 0.789 0.500 0.742
I 0.211 0.742 0.500
I 0.289 0.758 0.000
I 0.711 0.000 0.758
Cs 0.679 0.268 0.000
Cs 0.821 0.768 0.500
Cs 0.821 0.232 0.500
Cs 0.321 0.000 0.732
Cs 0.179 0.500 0.768
Cs 0.321 0.000 0.268
Cs 0.679 0.732 0.000
Cs 0.179 0.500 0.232
Tl 0.500 0.500 0.500
Tl 0.000 0.000 0.000

=====

Record 2
! Cs2Tl2I5 | Alexandria | PBE | optimized geometry; values from VASP
! * distance to the lowest polymorph of the same formula: 0 meV/atom
! * DOS at the Fermi energy: 2.063 states/eV/f.u.
! * density: 4.3 Mg/m³
! * symmetry: Ima2, No. 46
! * E_form (uncorrected): -0.95 eV per atom
! * crystal system: orthorhombic
! * calculated total energy: -0.1860 Ry per atom
! * M_tot: 0.00 μB per formula unit
&SYSTEM
  ibrav = 0, nat = 18, ntyp = 3
/
ATOMIC_SPECIES
Tl 204.38 Tl.upf
I 126.90 I.upf
Cs 132.91 Cs.upf
CELL_PARAMETERS angstrom
-2.719 -5.451 -6.799
7.735 -3.789 -0.055
-6.646 -3.950 11.953
ATOMIC_POSITIONS crystal
Tl 0.500 0.481 0.000
Tl 0.810 0.789 0.500
Tl 0.000 0.981 0.000
Tl 0.190 0.289 0.500
I 0.844 0.176 0.500
I 0.762 0.243 0.021
I 0.156 0.676 0.500
I 0.582 0.602 0.252
I 0.759 0.743 0.021
I 0.418 0.350 0.748
I 0.241 0.722 0.979
I 0.830 0.850 0.748
I 0.170 0.102 0.252
I 0.238 0.222 0.979
Cs 0.579 0.091 0.210
Cs 0.421 0.881 0.790
Cs 0.131 0.591 0.210
Cs 0.869 0.381 0.790

=====

Record 3
! CsTl3I4 | Alexandria | PBE | optimized geometry; values from VASP
! * DOS at the Fermi energy: 0.000 states/eV/f.u.
! * density: 5.4 Mg/m³
! * symmetry: C2/m, No. 12
! * E_form (uncorrected): -0.87 eV per atom
! * crystal system: monoclinic
! * calculated total energy: -0.1942 Ry per atom
! * M_tot: 0.00 μB per formula unit
&SYSTEM
  ibrav = 0, nat = 8, ntyp = 3
/
ATOMIC_SPECIES
I 126.90 I.upf
Tl 204.38 Tl.upf
Cs 132.91 Cs.upf
CELL_PARAMETERS angstrom
5.166 -0.066 0.085
0.033 8.558 2.508
-0.176 0.507 8.901
ATOMIC_POSITIONS crystal
I 0.499 0.242 0.742
I 0.000 0.233 0.267
I 0.000 0.767 0.733
I 0.501 0.758 0.258
Tl 0.000 0.000 0.000
Tl 0.000 0.500 0.500
Tl 0.500 0.000 0.500
Cs 0.500 0.500 0.000

=====

Record 4
! CsTlI2 | Alexandria | PBE | optimized geometry; values from VASP
! * distance to the lowest polymorph of the same formula: 45 meV/atom
! * DOS at the Fermi energy: 0.000 states/eV/f.u.
! * density: 5.5 Mg/m³
! * symmetry: P4/mmm, No. 123
! * E_form (uncorrected): -1.05 eV per atom
! * crystal system: tetragonal
! * calculated total energy: -0.1934 Ry per atom
! * M_tot: 0.00 μB per formula unit
&SYSTEM
  ibrav = 0, nat = 4, ntyp = 3
/
ATOMIC_SPECIES
Cs 132.91 Cs.upf
Tl 204.38 Tl.upf
I 126.90 I.upf
CELL_PARAMETERS angstrom
4.452 0.000 0.000
0.000 4.452 0.000
0.000 0.000 8.961
ATOMIC_POSITIONS crystal
Cs 0.500 0.500 0.500
Tl 0.500 0.500 0.000
I 0.000 0.000 0.233
I 0.000 0.000 0.767

=====

Record 5
! Cs2Tl3I5 | Alexandria | PBE | optimized geometry; values from VASP
! * DOS at the Fermi energy: 0.000 states/eV/f.u.
! * density: 4.9 Mg/m³
! * symmetry: C2/m, No. 12
! * E_form (uncorrected): -1.00 eV per atom
! * crystal system: monoclinic
! * calculated total energy: -0.1955 Ry per atom
! * M_tot: 0.00 μB per formula unit
&SYSTEM
  ibrav = 0, nat = 10, ntyp = 3
/
ATOMIC_SPECIES
Cs 132.91 Cs.upf
I 126.90 I.upf
Tl 204.38 Tl.upf
CELL_PARAMETERS angstrom
-2.311 3.781 -2.664
-9.079 0.265 3.235
0.465 8.723 6.962
ATOMIC_POSITIONS crystal
Cs 0.333 0.069 0.265
Cs 0.667 0.931 0.735
I 0.702 0.399 0.196
I 0.298 0.601 0.804
I 0.000 0.000 0.000
I 0.092 0.232 0.583
I 0.908 0.768 0.417
Tl 0.115 0.641 0.130
Tl 0.500 0.500 0.500
Tl 0.885 0.359 0.870

=====

Record 6
! CsTl6I8 | Alexandria | PBE | optimized geometry; values from VASP
! * distance to the lowest polymorph of the same formula: 37 meV/atom
! * DOS at the Fermi energy: 14.663 states/eV/f.u.
! * density: 5.1 Mg/m³
! * symmetry: R-3, No. 148
! * E_form (uncorrected): -0.65 eV per atom
! * crystal system: trigonal
! * calculated total energy: -0.1824 Ry per atom
! * M_tot: 0.00 μB per formula unit
&SYSTEM
  ibrav = 0, nat = 15, ntyp = 3
/
ATOMIC_SPECIES
Tl 204.38 Tl.upf
I 126.90 I.upf
Cs 132.91 Cs.upf
CELL_PARAMETERS angstrom
-6.411 6.285 -2.034
-3.686 -0.586 8.415
5.286 6.856 3.130
ATOMIC_POSITIONS crystal
Tl 0.840 0.601 0.416
Tl 0.416 0.840 0.601
Tl 0.160 0.399 0.584
Tl 0.584 0.160 0.399
Tl 0.399 0.584 0.160
Tl 0.601 0.416 0.840
I 0.356 0.150 0.763
I 0.261 0.261 0.261
I 0.150 0.763 0.356
I 0.644 0.850 0.237
I 0.237 0.644 0.850
I 0.850 0.237 0.644
I 0.763 0.356 0.150
I 0.739 0.739 0.739
Cs 0.000 0.000 0.000